{"formula": "LiSc2As", "functional": "PBE", "state": "relaxed", "e_form_mev_per_atom": -465, "sg": "R-3m, No. 166", "e_tot_ev_per_atom": -5.2718, "dos_ef_per_ev_fu": 3.043, "lattice": [[3.972, 0.000, 0.000], [-1.986, 3.440, 0.000], [0.000, 0.000, 19.717]], "species": ["Li", "Li", "Li", "Sc", "Sc", "Sc", "Sc", "Sc", "Sc", "As", "As", "As"], "fractional_positions": [[0.000, 0.000, 0.000], [0.333, 0.667, 0.667], [0.667, 0.333, 0.333], [0.000, 0.000, 0.235], [0.000, 0.000, 0.765], [0.333, 0.667, 0.432], [0.333, 0.667, 0.902], [0.667, 0.333, 0.098], [0.667, 0.333, 0.568], [0.000, 0.000, 0.500], [0.333, 0.667, 0.167], [0.667, 0.333, 0.833]]}


{"formula": "Tb8DyCd2", "functional": "PBE", "state": "relaxed", "e_form_mev_per_atom": 30, "sg": "C2/m, No. 12", "e_tot_ev_per_atom": -3.9220, "dos_ef_per_ev_fu": 13.520, "lattice": [[4.380, -7.580, 0.000], [4.380, 7.580, 0.000], [-2.166, 0.000, 5.162]], "species": ["Tb", "Tb", "Tb", "Tb", "Tb", "Tb", "Tb", "Tb", "Dy", "Cd", "Cd"], "fractional_positions": [[0.095, 0.320, 0.614], [0.219, 0.781, 0.000], [0.320, 0.095, 0.614], [0.400, 0.400, 0.202], [0.600, 0.600, 0.798], [0.680, 0.905, 0.386], [0.781, 0.219, 0.000], [0.905, 0.680, 0.386], [0.000, 0.000, 0.000], [0.306, 0.694, 0.500], [0.694, 0.306, 0.500]]}


{"formula": "Ba2RePb", "functional": "PBE", "state": "relaxed", "e_form_mev_per_atom": 697, "sg": "P4/mmm, No. 123", "e_tot_ev_per_atom": -4.3034, "dos_ef_per_ev_fu": 2.976, "lattice": [[3.527, 0.000, 0.000], [0.000, 3.527, 0.000], [0.000, 0.000, 10.349]], "species": ["Ba", "Ba", "Re", "Pb"], "fractional_positions": [[0.000, 0.000, 0.214], [0.000, 0.000, 0.786], [0.500, 0.500, 0.000], [0.500, 0.500, 0.500]]}


{"formula": "CaTlRu", "functional": "PBE", "state": "relaxed", "e_form_mev_per_atom": -10, "sg": "Cm, No. 8", "e_tot_ev_per_atom": -4.5577, "dos_ef_per_ev_fu": 1.265, "lattice": [[11.211, 0.000, 0.000], [0.000, 4.386, 0.000], [-0.529, 0.000, 5.901]], "species": ["Ca", "Ca", "Ca", "Ca", "Tl", "Tl", "Tl", "Tl", "Ru", "Ru", "Ru", "Ru"], "fractional_positions": [[0.000, 0.000, 0.000], [0.091, 0.500, 0.477], [0.500, 0.500, 0.000], [0.591, 0.000, 0.477], [0.256, 0.000, 0.751], [0.388, 0.500, 0.481], [0.756, 0.500, 0.751], [0.888, 0.000, 0.481], [0.230, 0.500, 0.064], [0.258, 0.000, 0.240], [0.730, 0.000, 0.064], [0.758, 0.500, 0.240]]}